Entry 1:
The following is a DFT calculation (GGA-PBE) of a relaxed Y2TcHg crystal.

Unit cell a=4.985 b=4.985 c=4.985 alpha=60.00 beta=60.00 gamma=60.00
Sites, in units of the cell vectors:
Hg 0.500 0.500 0.500
Tc 0.750 0.750 0.750
Y 0.000 0.000 0.000
Y 0.250 0.250 0.250

Summary:
Volume, Å³ per cell: 88
DFT formation energy, kcal/mol of atoms: 4.22
Space group: F-43m (216)

---

Entry 2:
The following is a DFT calculation (GGA-PBE) of a relaxed La2MgGaRu2 crystal.

Unit cell a=5.731 b=5.909 c=8.754 alpha=109.72 beta=109.11 gamma=90.00
Sites, in units of the cell vectors:
La 0.422 0.166 0.333
La 0.578 0.834 0.667
La 0.089 0.334 0.667
La 0.911 0.666 0.333
Mg 0.000 0.750 0.000
Mg 0.000 0.250 0.000
Ga 0.500 0.750 0.000
Ga 0.500 0.250 0.000
Ru 0.848 0.115 0.229
Ru 0.381 0.615 0.229
Ru 0.619 0.385 0.771
Ru 0.152 0.885 0.771

Summary:
Volume, Å³ per cell: 262
DFT formation energy, kcal/mol of atoms: -7.17
Space group: Ibam (72)

---

Entry 3:
The following is a DFT calculation (GGA-PBE) of a relaxed CuSb2Br crystal.

Unit cell a=7.381 b=4.055 c=4.055 alpha=90.00 beta=90.00 gamma=90.00
Sites, in units of the cell vectors:
Br 0.500 0.500 0.000
Cu 0.500 0.000 0.500
Sb 0.000 0.000 0.000
Sb 0.000 0.500 0.500

Summary:
Polymorph energy (0 for the lowest one), kJ/mol of formula units: 185.4
Volume, Å³ per cell: 121
Space group: P4/mmm (123)
Uncorrected formation energy, eV per atom: 0.41